1.
Entry from Alexandria: a geometry-optimized SmDyTh2Bi4 structure (GGA-PBE).

```
data_SmDyTh2Bi4
_symmetry_space_group_name_H-M 'P 1 2/m 1'
_symmetry_Int_Tables_number 10
_symmetry_space_group_name_Hall '-P 2y'
_cell_length_a 7.8684
_cell_length_b 4.5687
_cell_length_c 7.9084
_cell_angle_alpha 90.00
_cell_angle_beta 109.67
_cell_angle_gamma 90.00
loop_
_atom_site_label
_atom_site_type_symbol
_atom_site_fract_x
_atom_site_fract_y
_atom_site_fract_z
Sm1 Sm 0.0000 0.0000 0.0000
Dy1 Dy 0.0000 0.5000 0.5000
Th1 Th 0.5000 0.0000 0.5000
Th2 Th 0.5000 0.5000 0.0000
Bi1 Bi 0.2425 0.0000 0.7451
Bi2 Bi 0.2444 0.5000 0.2505
```

- electronic total energy (eV per atom) = -5.690
- energy of formation from the pure elements (eV per atom) = -0.73
- calculated volume (Å³ per cell) = 267.70



2.
Entry from Alexandria: a geometry-optimized SmDyTh2Bi5 structure (GGA-PBE).

```
data_SmDyTh2Bi5
_symmetry_space_group_name_H-M 'P 4/m m m'
_symmetry_Int_Tables_number 123
_symmetry_space_group_name_Hall '-P 4 2'
_cell_length_a 5.4935
_cell_length_b 5.4935
_cell_length_c 11.7543
_cell_angle_alpha 90.00
_cell_angle_beta 90.00
_cell_angle_gamma 90.00
loop_
_atom_site_label
_atom_site_type_symbol
_atom_site_fract_x
_atom_site_fract_y
_atom_site_fract_z
Sm1 Sm 0.0000 0.0000 0.0000
Dy1 Dy 0.0000 0.0000 0.5000
Th1 Th 0.5000 0.5000 0.1995
Bi1 Bi 0.0000 0.0000 0.2544
Bi2 Bi 0.0000 0.5000 0.0000
Bi3 Bi 0.5000 0.5000 0.5000
```

- electronic total energy (eV per atom) = -4.722
- energy of formation from the pure elements (eV per atom) = 0.12
- calculated volume (Å³ per cell) = 354.72